# 1
# Lu3FeSi3

A relaxed structure of Lu3FeSi3 (GGA-PBE, OQMD via LeMat-Bulk).

Unit cell a=5.509 b=5.509 c=13.216 alpha=109.43 beta=109.43 gamma=43.53
Atoms (fractional coordinates):
Lu 0.748 0.748 0.230
Lu 0.477 0.477 0.620
Lu 0.602 0.602 0.919
Lu 0.252 0.252 0.770
Lu 0.398 0.398 0.081
Lu 0.523 0.523 0.380
Fe 0.247 0.247 0.415
Fe 0.753 0.753 0.585
Si 0.142 0.142 0.543
Si 0.115 0.115 0.075
Si 0.885 0.885 0.925
Si 0.053 0.053 0.242
Si 0.858 0.858 0.457
Si 0.947 0.947 0.758

# 2
# LuFeSi

A relaxed structure of LuFeSi (GGA-PBE, OQMD via LeMat-Bulk).

Unit cell a=4.204 b=4.204 c=4.204 alpha=60.00 beta=60.00 gamma=60.00
Atoms (fractional coordinates):
Lu 0.250 0.250 0.250
Si 0.750 0.750 0.750
Fe 0.000 0.000 0.000

# 3
# LuFeSi

A relaxed structure of LuFeSi (GGA-PBE, OQMD via LeMat-Bulk).

Unit cell a=4.507 b=4.507 c=4.507 alpha=60.00 beta=60.00 gamma=60.00
Atoms (fractional coordinates):
Si 0.750 0.750 0.750
Fe 0.250 0.250 0.250
Lu 0.000 0.000 0.000

# 4
# LuFeSi2

A relaxed structure of LuFeSi2 (GGA-PBE, OQMD via LeMat-Bulk).

Unit cell a=4.414 b=4.414 c=4.414 alpha=60.00 beta=60.00 gamma=60.00
Atoms (fractional coordinates):
Si 0.750 0.750 0.750
Si 0.000 0.000 0.000
Fe 0.500 0.500 0.500
Lu 0.250 0.250 0.250

# 5
# SmLuFe2Si2

A relaxed structure of SmLuFe2Si2 (GGA-PBE, OQMD via LeMat-Bulk).

Unit cell a=4.034 b=4.034 c=6.489 alpha=90.00 beta=90.00 gamma=90.00
Atoms (fractional coordinates):
Fe 0.500 0.000 0.993
Fe 0.000 0.500 0.993
Lu 0.500 0.500 0.694
Si 0.000 0.000 0.819
Si 0.500 0.500 0.175
Sm 0.000 0.000 0.327

# 6
# Lu2FeSiSn

A relaxed structure of Lu2FeSiSn (GGA-PBE, OQMD via LeMat-Bulk).

Unit cell a=5.674 b=5.674 c=10.351 alpha=116.58 beta=116.58 gamma=43.06
Atoms (fractional coordinates):
Lu 0.000 0.000 0.346
Lu 0.000 0.000 0.654
Lu 0.809 0.809 0.873
Lu 0.191 0.191 0.127
Fe 0.263 0.263 0.614
Fe 0.737 0.737 0.386
Si 0.654 0.654 0.562
Si 0.346 0.346 0.438
Sn 0.519 0.519 0.868
Sn 0.481 0.481 0.132

Going through the records in order, we get E values of -6.20, -6.21, -5.42, -5.88, -6.74, -5.97 eV/atom.